Entry from Alexandria via LeMat-Bulk: Ti2HgBi2O7 after structural relaxation (PBE-GGA).

Cell: 8.600 8.600 8.600 Å, 153.66 60.10 127.04°
Sites, in units of the cell vectors:
1 Ti 0.118 0.000 0.118
2 Ti 0.882 0.000 0.882
3 Hg 0.583 0.083 0.500
4 Bi 0.265 0.471 0.794
5 Bi 0.677 0.471 0.206
6 O 0.095 0.228 0.867
7 O 0.102 0.459 0.643
8 O 0.124 0.883 0.242
9 O 0.361 0.228 0.133
10 O 0.641 0.883 0.758
11 O 0.816 0.459 0.357
12 O 0.928 0.928 0.000

Fermi-level density of states (states/eV per cell): 0.0
Raw formation energy (eV per atom): -1.92
Raw total energy (eV per atom): -6.805
Total moment (μB per cell): 0.00